[1]
A plane-wave DFT calculation with PBE was carried out for a geometry-optimized ErTiSi2Os structure.

Properties
Its formation energy from raw total energies is -0.786 eV/atom. As for the symmetry: No. 119.

Geometry as CIF:
```
data_ErTiSi2Os
_symmetry_space_group_name_H-M 'P 1'
_symmetry_Int_Tables_number 1
_symmetry_space_group_name_Hall 'P 1'
_cell_length_a 3.980
_cell_length_b 3.980
_cell_length_c 6.065
_cell_angle_alpha 109.16
_cell_angle_beta 109.16
_cell_angle_gamma 90.00
loop_
_atom_site_label
_atom_site_type_symbol
_atom_site_fract_x
_atom_site_fract_y
_atom_site_fract_z
Os1 Os 0.750 0.250 0.500
Si1 Si 0.389 0.389 0.778
Ti1 Ti 0.250 0.750 0.500
Si2 Si 0.611 0.611 0.222
Er1 Er 0.000 0.000 0.000
```



[2]
A plane-wave DFT calculation with PBE was carried out for a geometry-optimized Rb2Zr2Ti structure.

Properties
As for the symmetry: No. 139. The calculation puts the energy relative to the elements at 1.26 eV/atom. As for the energy relative to the lowest polymorph listed for this composition: 0.000 eV per atom.

Geometry as CIF:
```
data_Rb2Zr2Ti
_symmetry_space_group_name_H-M 'P 1'
_symmetry_Int_Tables_number 1
_symmetry_space_group_name_Hall 'P 1'
_cell_length_a 4.211
_cell_length_b 4.211
_cell_length_c 9.385
_cell_angle_alpha 77.03
_cell_angle_beta 77.03
_cell_angle_gamma 90.00
loop_
_atom_site_label
_atom_site_type_symbol
_atom_site_fract_x
_atom_site_fract_y
_atom_site_fract_z
Rb1 Rb 0.250 0.750 0.500
Rb2 Rb 0.750 0.250 0.500
Zr1 Zr 0.572 0.572 0.857
Zr2 Zr 0.428 0.428 0.143
Ti1 Ti 0.000 0.000 0.000
```